# PmZnGa2Ru2 PBE relaxed
data_PmZnGa2Ru2
_space_group_name_H-M_alt 'P 4/m m m'
_space_group_IT_number 123
_space_group_name_Hall '-P 4 2'
_cell_length_a 4.599
_cell_length_b 4.599
_cell_length_c 5.497
_cell_angle_alpha 90.00
_cell_angle_beta 90.00
_cell_angle_gamma 90.00
loop_
_atom_site_label
_atom_site_fract_x
_atom_site_fract_y
_atom_site_fract_z
Pm1 0.000 0.000 0.000
Zn1 0.000 0.000 0.500
Ga1 0.500 0.500 0.250
Ru1 0.000 0.500 0.500
# **Crystal system**: tetragonal
# **Energy of formation from the pure elements**: -81 meV per atom